Entry 1:
SmHf2In: optimized geometry, GGA-PBE.

The structure in CIF format:
```
data_SmHf2In
_cell_length_a 3.168
_cell_length_b 3.168
_cell_length_c 11.618
_cell_angle_alpha 82.16
_cell_angle_beta 82.16
_cell_angle_gamma 60.00
_symmetry_space_group_name_H-M 'P 1'
_symmetry_Int_Tables_number 1
_symmetry_space_group_name_Hall 'P 1'
loop_
_atom_site_label
_atom_site_fract_x
_atom_site_fract_y
_atom_site_fract_z
Hf1 0.092 0.092 0.724
Hf2 0.908 0.908 0.276
In1 0.500 0.500 0.500
Sm1 0.000 0.000 0.000
```

## Properties
ΔE to the lowest computed polymorph in eV per formula unit: 1.37
Spin magnetization in μB per atom: 0.0000
Formation energy in eV/atom: 0.293
Crystal system: trigonal
V in Å³/atom: 24.93
E in eV per atom: -6.55

Entry 2:
SmHfIn: optimized geometry, GGA-PBE.

The structure in CIF format:
```
data_SmHfIn
_cell_length_a 3.501
_cell_length_b 5.134
_cell_length_c 5.134
_cell_angle_alpha 120.00
_cell_angle_beta 90.00
_cell_angle_gamma 90.00
_symmetry_space_group_name_H-M 'P 1'
_symmetry_Int_Tables_number 1
_symmetry_space_group_name_Hall 'P 1'
loop_
_atom_site_label
_atom_site_fract_x
_atom_site_fract_y
_atom_site_fract_z
In1 0.165 0.333 0.667
Sm1 0.667 0.667 0.333
Hf1 0.168 0.000 0.000
```

## Properties
ΔE to the lowest computed polymorph in eV per formula unit: 0.38
Spin magnetization in μB per atom: 0.0000
Formation energy in eV/atom: 0.014
Crystal system: trigonal
V in Å³/atom: 26.64
E in eV per atom: -5.79

Entry 3:
Sm3HfIn3Te8: optimized geometry, GGA-PBE.

The structure in CIF format:
```
data_Sm3HfIn3Te8
_cell_length_a 8.769
_cell_length_b 8.769
_cell_length_c 9.592
_cell_angle_alpha 117.20
_cell_angle_beta 90.00
_cell_angle_gamma 120.00
_symmetry_space_group_name_H-M 'P 1'
_symmetry_Int_Tables_number 1
_symmetry_space_group_name_Hall 'P 1'
loop_
_atom_site_label
_atom_site_fract_x
_atom_site_fract_y
_atom_site_fract_z
Te1 0.743 0.486 0.727
Te2 0.772 0.545 0.285
Te3 0.240 0.012 0.285
Te4 0.772 0.012 0.285
Te5 0.257 0.514 0.273
Te6 0.760 0.988 0.715
Te7 0.228 0.455 0.715
Te8 0.228 0.988 0.715
Sm1 0.500 0.000 0.500
Sm2 0.500 0.500 0.500
Sm3 0.000 0.500 0.500
Hf1 0.000 0.000 0.500
In1 0.000 0.500 0.000
In2 0.000 0.000 0.000
In3 0.500 0.500 0.000
```

## Properties
Spin magnetization in μB per atom: 0.0000
Crystal system: monoclinic
V in Å³/atom: 36.17
E in eV per atom: -4.78

- Look up the spin magnetization of the first one.
  0.0000 μB per atom

- Which value of E does entry 3 give?
  -4.78 eV per atom